Record 1
Density functional theory data (PBE) for crystalline Dy2Er3Th3 at its relaxed geometry.

The value obtained for the density is 9.9 g/cm3. As for the total energy: -44.0 eV/f.u. For the energy above the lowest structure with this stoichiometry, the calculation gives 0.104 eV per atom.

The structure belongs to space group P-62m (No. 189); the cell edges are 9.0335, 9.0335 and 3.5986 Å and the angles 90.00°, 90.00° and 120.00°. The distinct sites, in fractional coordinates, are Dy at (0.3333, 0.6667, 0.0000), Er at (0.0000, 0.3956, 0.5000) and Th at (0.0000, 0.7713, 0.0000).


Record 2
Density functional theory data (PBE) for crystalline BaAl2GaOs at its relaxed geometry.

The value obtained for the density is 6.5 g/cm3. As for the total energy: -25.6 eV/f.u.

The structure belongs to space group P4/mmm (No. 123); the cell edges are 4.857, 4.857 and 4.903 Å and the angles 90.00°, 90.00° and 90.00°. The distinct sites, in fractional coordinates, are Ba at (0.000, 0.000, 0.000), Al at (0.000, 0.500, 0.500), Ga at (0.500, 0.500, 0.000) and Os at (0.500, 0.500, 0.500).


Record 3
Density functional theory data (PBE) for crystalline Co5PdPt6 at its relaxed geometry.

The value obtained for the density is 15.7 g/cm3. As for the total energy: -78.0 eV/f.u.

The structure belongs to space group Cmmm (No. 65); the cell edges are 3.822, 11.510 and 7.577 Å and the angles 90.00°, 90.00° and 90.00°. The distinct sites, in fractional coordinates, are Co at (0.000, 0.000, 0.000), Co at (0.000, 0.325, 0.500), Co at (0.000, 0.333, 0.000), Pd at (0.000, 0.000, 0.500), Pt at (0.000, 0.168, 0.243) and Pt at (0.000, 0.500, 0.239).


Record 4
Density functional theory data (PBE) for crystalline LuHfFeRu at its relaxed geometry.

The value obtained for the density is 12.5 g/cm3. As for the total energy: -33.7 eV/f.u.

The structure belongs to space group F-43m (No. 216); the cell edges are 6.475, 6.475 and 6.475 Å and the angles 90.00°, 90.00° and 90.00°. The distinct sites, in fractional coordinates, are Lu at (0.000, 0.000, 0.000), Hf at (0.000, 0.000, 0.500), Fe at (0.250, 0.250, 0.750) and Ru at (0.250, 0.250, 0.250).


Record 5
Density functional theory data (PBE) for crystalline AcGaHgBi at its relaxed geometry.

The value obtained for the density is 10.0 g/cm3. As for the total energy: -12.8 eV/f.u.

The structure belongs to space group F-43m (No. 216); the cell edges are 7.760, 7.760 and 7.760 Å and the angles 90.00°, 90.00° and 90.00°. The distinct sites, in fractional coordinates, are Ac at (0.000, 0.000, 0.000), Ga at (0.250, 0.250, 0.750), Hg at (0.250, 0.250, 0.250) and Bi at (0.000, 0.000, 0.500).


Record 6
Density functional theory data (PBE) for crystalline Ce7Pu3 at its relaxed geometry.

The value obtained for the density is 11.2 g/cm3. As for the total energy: -84.1 eV/f.u.

The structure belongs to space group C2/m (No. 12); the cell edges are 16.636, 4.768 and 6.527 Å and the angles 90.00°, 101.14° and 90.00°. The distinct sites, in fractional coordinates, are Ce at (0.000, 0.000, 0.000), Ce at (0.100, 0.500, 0.299), Ce at (0.100, 0.500, 0.797), Ce at (0.201, 0.000, 0.607), Pu at (0.000, 0.000, 0.500) and Pu at (0.201, 0.000, 0.095).


Record 7
Density functional theory data (PBE) for crystalline Sm3Zn2Ag4 at its relaxed geometry.

The value obtained for the density is 8.3 g/cm3. As for the total energy: -30.8 eV/f.u.

The structure belongs to space group C2/m (No. 12); the cell edges are 10.754, 4.710 and 8.925 Å and the angles 90.00°, 116.84° and 90.00°. The distinct sites, in fractional coordinates, are Sm at (0.000, 0.000, 0.000), Sm at (0.164, 0.500, 0.669), Zn at (0.117, 0.500, 0.286), Ag at (0.063, 0.000, 0.390) and Ag at (0.219, 0.500, 0.062).


Record 8
Density functional theory data (PBE) for crystalline Ac6Si2BrCl3 at its relaxed geometry.

The value obtained for the density is 7.0 g/cm3. The formation energy from raw total energies comes out at -1196.1 meV/atom. As for the total energy: -57.1 eV/f.u.

The structure belongs to space group C2/m (No. 12); the cell edges are 19.429, 4.571 and 8.772 Å and the angles 90.00°, 102.64° and 90.00°. The distinct sites, in fractional coordinates, are Ac at (0.002, 0.000, 0.258), Ac at (0.165, 0.500, 0.096), Ac at (0.172, 0.500, 0.573), Si at (0.163, 0.000, 0.328), Br at (0.000, 0.500, 0.000), Cl at (0.000, 0.500, 0.500) and Cl at (0.175, 0.000, 0.839).


Record 9
Density functional theory data (PBE) for crystalline BaNaHg2Pt2 at its relaxed geometry.

The value obtained for the density is 10.5 g/cm3. As for the total energy: -18.3 eV/f.u.

The structure belongs to space group P-3m1 (No. 164); the cell edges are 4.7869, 4.7869 and 7.5819 Å and the angles 90.00°, 90.00° and 120.00°. The distinct sites, in fractional coordinates, are Ba at (0.0000, 0.0000, 0.0000), Na at (0.0000, 0.0000, 0.5000), Hg at (0.3333, 0.6667, 0.3144) and Pt at (0.3333, 0.6667, 0.7217).


Record 10
Density functional theory data (PBE) for crystalline La2BeP at its relaxed geometry.

The value obtained for the density is 5.7 g/cm3. As for the total energy: -20.6 eV/f.u. For the energy above the lowest structure with this stoichiometry, the calculation gives 0.295 eV per atom.

The structure belongs to space group Fm-3m (No. 225); the cell edges are 7.202, 7.202 and 7.202 Å and the angles 90.00°, 90.00° and 90.00°. The distinct sites, in fractional coordinates, are La at (0.250, 0.250, 0.250), Be at (0.000, 0.000, 0.000) and P at (0.000, 0.000, 0.500).


Record 11
Density functional theory data (PBE) for crystalline La6Ga3N at its relaxed geometry.

The value obtained for the density is 6.1 g/cm3. The formation energy from raw total energies comes out at -569.2 meV/atom. As for the total energy: -52.7 eV/f.u.

The structure belongs to space group P2_1/c (No. 14); the cell edges are 6.695, 8.334 and 11.716 Å and the angles 90.00°, 119.00° and 90.00°. The distinct sites, in fractional coordinates, are La at (0.086, 0.055, 0.228), La at (0.183, 0.718, 0.063), La at (0.383, 0.151, 0.050), Ga at (0.322, 0.109, 0.739), Ga at (0.500, 0.000, 0.500) and N at (0.000, 0.000, 0.000).


Record 12
Density functional theory data (PBE) for crystalline NaBe2CdTc at its relaxed geometry.

The value obtained for the density is 5.0 g/cm3. As for the total energy: -11.1 eV/f.u.

The structure belongs to space group P4/mmm (No. 123); the cell edges are 4.285, 4.285 and 4.587 Å and the angles 90.00°, 90.00° and 90.00°. The distinct sites, in fractional coordinates, are Na at (0.000, 0.000, 0.000), Be at (0.000, 0.500, 0.000), Cd at (0.000, 0.000, 0.500) and Tc at (0.500, 0.500, 0.500).


Record 13
Density functional theory data (PBE) for crystalline Ga3CuTc at its relaxed geometry.

The value obtained for the density is 7.9 g/cm3. As for the total energy: -22.9 eV/f.u. For the energy above the lowest structure with this stoichiometry, the calculation gives 0.000 eV per atom.

The structure belongs to space group Pnma (No. 62); the cell edges are 6.821, 6.935 and 6.628 Å and the angles 90.00°, 90.00° and 90.00°. The distinct sites, in fractional coordinates, are Ga at (0.085, 0.250, 0.218), Ga at (0.159, 0.052, 0.850), Cu at (0.167, 0.750, 0.088) and Tc at (0.000, 0.000, 0.500).